Entry 1:
Entry from Alexandria via LeMat-Bulk: an optimized crystal structure of Na2U2RhS6 (PBE-GGA).

a b c (Å): 6.454 6.454 7.257
angles (deg): 98.34 98.34 119.61
Each line ends with the local moment (μB).
Fractional coordinates of all 11 atoms:
U (0.665, 0.335, 0.500)  2.00
U (0.335, 0.665, 0.500)  2.00
S (0.392, 0.071, 0.718)  -0.02
S (0.759, 0.759, 0.718)  -0.03
S (0.929, 0.608, 0.282)  -0.02
S (0.071, 0.392, 0.718)  -0.02
S (0.608, 0.929, 0.282)  -0.02
S (0.241, 0.241, 0.282)  -0.03
Na (0.167, 0.833, 0.000)  0.00
Na (0.833, 0.167, 0.000)  0.00
Rh (0.000, 0.000, 0.500)  0.66

E_form (uncorrected) ... -1.123 eV per atom
Space-group type ... C2/m (12)

***

Entry 2:
Entry from Alexandria via LeMat-Bulk: an optimized crystal structure of Ac2LaPt2Br2 (PBE-GGA).

a b c (Å): 5.428 5.428 9.128
angles (deg): 107.30 107.30 90.00
Fractional coordinates of all 7 atoms:
Pt (0.000, 0.500, 0.000)
Pt (0.500, 0.000, 0.000)
Ac (0.386, 0.386, 0.772)
Ac (0.614, 0.614, 0.228)
Br (0.197, 0.197, 0.394)
Br (0.803, 0.803, 0.606)
La (0.000, 0.000, 0.000)

E_form (uncorrected) ... -1.241 eV per atom
Space-group type ... I4/mmm (139)

***

Entry 3:
Entry from Alexandria via LeMat-Bulk: an optimized crystal structure of AgAs2Br (PBE-GGA).

a b c (Å): 6.870 6.870 6.870
angles (deg): 148.68 145.26 47.47
Fractional coordinates of all 4 atoms:
Ag (0.249, 0.749, 0.500)
Br (0.555, 0.555, 0.000)
As (0.916, 0.916, 0.000)
As (0.780, 0.280, 0.500)

E_form (uncorrected) ... 0.085 eV per atom
Space-group type ... Imm2 (44)

***

Entry 4:
Entry from Alexandria via LeMat-Bulk: an optimized crystal structure of Zr2InPt (PBE-GGA).

a b c (Å): 5.278 5.278 5.278
angles (deg): 131.70 131.70 70.70
Fractional coordinates of all 4 atoms:
Pt (0.750, 0.250, 0.500)
In (0.250, 0.750, 0.500)
Zr (0.500, 0.500, 0.000)
Zr (0.000, 0.000, 0.000)

Formation energy ... -2.28 eV/f.u.
Space-group type ... I4/mmm (139)

***

Entry 5:
Entry from Alexandria via LeMat-Bulk: an optimized crystal structure of Ti2GaPd2 (PBE-GGA).

a b c (Å): 6.794 6.794 5.435
angles (deg): 118.14 118.14 99.26
Fractional coordinates of all 10 atoms:
Ga (0.912, 0.088, 0.750)
Ga (0.088, 0.912, 0.250)
Ti (0.337, 0.663, 0.250)
Ti (0.803, 0.197, 0.250)
Ti (0.663, 0.337, 0.750)
Ti (0.197, 0.803, 0.750)
Pd (0.240, 0.376, 0.413)
Pd (0.624, 0.760, 0.087)
Pd (0.760, 0.624, 0.587)
Pd (0.376, 0.240, 0.913)

Formation energy ... -1.68 eV/f.u.
Space-group type ... C2/c (15)

***

Entry 6:
Entry from Alexandria via LeMat-Bulk: an optimized crystal structure of VFe2BiS (PBE-GGA).

a b c (Å): 4.675 4.311 4.675
angles (deg): 90.00 90.00 90.00
Each line ends with the local moment (μB).
Fractional coordinates of all 5 atoms:
S (0.000, 0.500, 0.000)  0.09
Fe (0.500, 0.000, 0.000)  2.35
Fe (0.000, 0.000, 0.500)  2.72
V (0.000, 0.000, 0.000)  -1.17
Bi (0.500, 0.500, 0.500)  -0.17

E_form (uncorrected) ... 0.688 eV per atom
Space-group type ... P4/mmm (123)

***

Entry 7:
Entry from Alexandria via LeMat-Bulk: an optimized crystal structure of K2CdAuO (PBE-GGA).

a b c (Å): 4.087 8.631 8.362
angles (deg): 105.89 90.00 90.00
Fractional coordinates of all 10 atoms:
K (0.750, 0.735, 0.637)
K (0.250, 0.113, 0.905)
K (0.750, 0.887, 0.095)
K (0.250, 0.265, 0.363)
Cd (0.250, 0.563, 0.897)
Cd (0.750, 0.437, 0.103)
O (0.250, 0.798, 0.863)
O (0.750, 0.202, 0.137)
Au (0.750, 0.354, 0.725)
Au (0.250, 0.646, 0.275)

E_form (uncorrected) ... -0.681 eV per atom
Space-group type ... P2_1/m (11)

***

Entry 8:
Entry from Alexandria via LeMat-Bulk: an optimized crystal structure of Pm6C2I2N (PBE-GGA).

a b c (Å): 6.513 6.513 7.964
angles (deg): 98.03 98.03 119.80
Fractional coordinates of all 11 atoms:
C (0.331, 0.669, 0.500)
C (0.669, 0.331, 0.500)
I (0.168, 0.832, 0.000)
I (0.832, 0.168, 0.000)
Pm (0.389, 0.060, 0.674)
Pm (0.611, 0.940, 0.326)
Pm (0.940, 0.611, 0.326)
Pm (0.273, 0.273, 0.325)
Pm (0.727, 0.727, 0.675)
Pm (0.060, 0.389, 0.674)
N (0.000, 0.000, 0.500)

E_form (uncorrected) ... -0.730 eV per atom
Space-group type ... C2/m (12)

***

Entry 9:
Entry from Alexandria via LeMat-Bulk: an optimized crystal structure of TeRhW (PBE-GGA).

a b c (Å): 5.900 5.900 5.900
angles (deg): 149.23 149.23 44.07
Fractional coordinates of all 3 atoms:
Te (0.326, 0.326, 0.000)
W (0.659, 0.659, 0.000)
Rh (0.015, 0.015, 0.000)

E_form (uncorrected) ... 0.352 eV per atom
Space-group type ... I4mm (107)

***

Entry 10:
Entry from Alexandria via LeMat-Bulk: an optimized crystal structure of Tb4PrSm (PBE-GGA).

a b c (Å): 5.076 8.046 11.380
angles (deg): 148.02 90.04 108.38
Fractional coordinates of all 6 atoms:
Pr (0.000, 0.000, 0.000)
Tb (0.166, 0.331, 0.499)
Tb (0.667, 0.333, 0.999)
Tb (0.834, 0.669, 0.501)
Tb (0.333, 0.667, 0.001)
Sm (0.500, 0.000, 0.500)

Formation energy ... 0.10 eV/f.u.
Space-group type ... P-1 (2)

***

Total magnetization values, unit μB per formula unit, following the record order: 5.0, 0.0, 0.0, 0.0, 0.0, 3.8, 0.0, 0.9, 0.0, 0.0.